Entry 1:
4
Lattice="4.326 0.000 0.000 2.163 3.746 0.000 2.163 1.249 3.532" Properties=species:S:1:pos:R:3 comment="GGA-PBE Mn2MoPt, optimized geometry" density_g_cm3=11.63 dos_at_fermi_per_ev_atom=1.088 formation_energy_ev_per_atom=0.087 spacegroup="F-43m, No. 216" m_tot_mub_per_cell=4.87 pbc="T T T"
Mo 4.326 2.498 1.766
Pt 6.489 3.746 2.649
Mn 2.163 1.249 0.883
Mn 0.000 0.000 0.000

***

Entry 2:
14
Lattice="-1.872 2.979 2.178 -2.957 -4.538 3.665 7.780 -1.351 4.604" Properties=species:S:1:pos:R:3 comment="GGA-PBE Tm2Be2Ga3, optimized geometry" density_g_cm3=7.79 dos_at_fermi_per_ev_atom=0.285 formation_energy_ev_per_atom=-0.418 spacegroup="Cmcm, No. 63" m_tot_mub_per_cell=0.00 pbc="T T T"
Ga -1.333 -0.478 3.438
Ga 2.134 0.432 5.174
Ga -0.224 1.224 2.064
Ga 0.817 -3.342 5.274
Ga 3.175 -4.134 8.384
Ga 4.284 -2.432 7.009
Be 4.078 -0.260 3.860
Be -0.100 -1.075 5.315
Be 3.051 -1.835 5.132
Be -1.127 -2.650 6.587
Tm -1.540 -3.390 3.313
Tm 4.491 0.480 7.135
Tm 1.473 -1.820 7.687
Tm 1.478 -1.090 2.761

***

Entry 3:
10
Lattice="5.507 0.000 -1.060 -0.204 5.504 -1.060 -0.039 -0.040 14.640" Properties=species:S:1:pos:R:3 comment="GGA-PBE NaSr7Zn2, optimized geometry" density_g_cm3=2.87 dos_at_fermi_per_ev_atom=1.425 formation_energy_ev_per_atom=0.009 spacegroup="I4/mmm, No. 139" m_tot_mub_per_cell=0.00 pbc="T T T"
Zn 1.682 1.745 8.740
Zn 3.583 3.718 3.781
Na 0.000 0.000 0.000
Sr 3.344 0.612 2.537
Sr 4.777 2.099 9.984
Sr 4.060 1.356 6.260
Sr 1.921 4.851 9.984
Sr 2.652 2.752 -1.060
Sr 0.488 3.364 2.537
Sr 1.205 4.108 6.260

***

Entry 4:
28
Lattice="7.435 -0.026 -3.149 -4.361 6.795 0.007 0.013 0.066 10.521" Properties=species:S:1:pos:R:3 comment="GGA-PBE Pm2Sb3Pd9, optimized geometry" density_g_cm3=10.08 dos_at_fermi_per_ev_atom=0.467 raw_formation_energy_mev_per_atom=-709 spacegroup="C2/c, No. 15" m_tot_mub_per_cell=0.00 pbc="T T T"
Pd 0.502 4.355 8.253
Pd -0.645 3.584 5.469
Pd 2.855 5.867 3.249
Pd -0.523 6.331 6.383
Pd -1.408 4.661 0.114
Pd 5.972 0.879 5.134
Pd 1.899 4.954 5.786
Pd 3.610 0.504 0.996
Pd 0.232 0.969 4.129
Pd -2.884 5.956 2.244
Pd 4.495 2.174 7.265
Pd 3.732 3.251 1.909
Pd 3.172 1.300 4.120
Pd 6.354 0.090 -2.175
Pd 1.188 1.881 1.592
Pd -0.085 5.535 3.259
Pd 2.585 2.480 -0.874
Pd -3.267 6.746 9.553
Sb 5.535 1.223 2.590
Sb 1.544 3.418 3.689
Sb -2.448 5.612 4.788
Sb 3.280 4.473 7.937
Sb -0.193 2.362 -0.559
Sb 3.717 -0.013 -1.575
Pm -1.740 2.839 2.613
Pm 1.637 5.152 0.534
Pm 4.827 3.996 4.765
Pm 1.450 1.683 6.845

***

Entry 5:
4
Lattice="-3.451 -1.825 2.788 -4.582 1.197 -0.762 -3.060 -3.236 -1.780" Properties=species:S:1:pos:R:3 comment="GGA-PBE Cr2AsPb, optimized geometry" density_g_cm3=8.21 dos_at_fermi_per_ev_atom=0.999 formation_energy_ev_per_atom=0.541 spacegroup="Fm-3m, No. 225" m_tot_mub_per_cell=7.72 relative_energy_mev_per_atom=322 pbc="T T T"
Pb -5.547 -1.932 0.123
Cr -8.320 -2.898 0.184
Cr -2.773 -0.966 0.061
As 0.000 0.000 0.000

***

Entry 6:
4
Lattice="3.548 0.000 0.000 0.000 3.548 0.000 0.000 0.000 8.083" Properties=species:S:1:pos:R:3 comment="GGA-PBE CaAs2Cl, optimized geometry" density_g_cm3=3.68 dos_at_fermi_per_ev_atom=0.285 raw_formation_energy_mev_per_atom=-922 spacegroup="P4mm, No. 99" m_tot_mub_per_cell=0.00 relative_energy_mev_per_atom=79 pbc="T T T"
Ca 0.000 0.000 4.001
As 0.000 0.000 0.872
As 1.774 1.774 1.846
Cl 1.774 1.774 5.405

***

Entry 7:
11
Lattice="5.276 -0.395 -0.276 0.392 9.670 2.595 0.392 5.764 8.186" Properties=species:S:1:pos:R:3 comment="GGA-PBE LaEr8Tl2, optimized geometry" density_g_cm3=9.21 dos_at_fermi_per_ev_atom=1.391 formation_energy_ev_per_atom=0.003 spacegroup="C2/m, No. 12" m_tot_mub_per_cell=0.00 pbc="T T T"
Er 4.351 8.563 7.969
Er 4.364 6.688 4.672
Er 4.351 10.429 5.298
Er 4.666 12.076 8.436
Er 1.394 2.962 2.069
Er 1.708 4.610 5.207
Er 1.708 6.475 2.536
Er 1.696 8.351 5.833
La 0.000 0.000 0.000
Tl 1.863 10.908 7.620
Tl 4.197 4.130 2.885

***

Entry 8:
8
Lattice="-1.384 -1.878 4.099 -0.223 -4.210 -2.004 8.984 -1.575 2.311" Properties=species:S:1:pos:R:3 comment="GGA-PBE Ca2Sn3Hg3, optimized geometry" density_g_cm3=8.32 dos_at_fermi_per_ev_atom=0.686 formation_energy_ev_per_atom=-0.354 spacegroup="Pmmm, No. 47" m_tot_mub_per_cell=0.00 pbc="T T T"
Hg 5.934 -4.225 2.781
Hg -0.692 -0.939 2.050
Hg 1.444 -3.438 1.626
Sn 3.800 -1.727 3.205
Sn -0.111 -2.105 -1.002
Sn 4.381 -2.893 0.154
Ca 2.227 -0.390 0.573
Ca 6.758 -1.185 1.739

***

Entry 9:
4
Lattice="3.096 0.000 0.000 0.000 4.480 0.000 0.000 0.000 4.055" Properties=species:S:1:pos:R:3 comment="GGA-PBE LiRu2W, optimized geometry" density_g_cm3=11.60 dos_at_fermi_per_ev_atom=1.028 formation_energy_ev_per_atom=0.402 spacegroup="Pmmm, No. 47" m_tot_mub_per_cell=0.00 relative_energy_mev_per_atom=457 pbc="T T T"
Li 0.000 2.240 2.028
Ru 0.000 0.000 0.000
Ru 1.548 2.240 0.000
W 1.548 0.000 2.028

***

Entry 10:
19
Lattice="-7.388 -2.118 -5.701 6.200 5.539 -4.738 4.360 -8.077 2.705" Properties=species:S:1:pos:R:3 comment="GGA-PBE Sr12TlPd6, optimized geometry" density_g_cm3=4.66 dos_at_fermi_per_ev_atom=0.844 formation_energy_ev_per_atom=-0.439 spacegroup="Im-3, No. 204" m_tot_mub_per_cell=1.00 pbc="T T T"
Sr 2.729 -2.626 -1.171
Sr 1.636 -5.260 -4.130
Sr 0.443 -2.031 -6.563
Sr 1.085 1.902 -7.568
Sr 4.325 -2.111 -4.923
Sr 1.536 0.603 -3.605
Sr 6.738 -3.590 -1.943
Sr -1.153 -2.545 -2.812
Sr 5.475 1.760 -3.785
Sr -2.303 -6.416 -3.949
Sr 2.087 -6.559 -0.167
Sr -3.567 -1.067 -5.791
Pd 3.386 0.754 -5.986
Pd -1.962 -3.808 -5.433
Pd 4.139 -5.112 -2.146
Pd -0.967 0.455 -5.588
Pd 5.134 -0.848 -2.302
Pd -0.214 -5.410 -1.749
Tl 0.000 0.000 0.000

***

Entry 11:
14
Lattice="3.192 0.000 0.000 1.596 7.640 0.544 1.596 2.604 7.203" Properties=species:S:1:pos:R:3 comment="GGA-PBE Pm3Co3B8, optimized geometry" density_g_cm3=6.78 dos_at_fermi_per_ev_atom=0.506 formation_energy_ev_per_atom=-0.160 spacegroup="Immm, No. 71" m_tot_mub_per_cell=0.00 pbc="T T T"
Co 1.596 6.650 1.852
Co 1.596 0.000 0.000
Co 1.596 3.593 5.895
B 3.192 5.325 1.187
B 4.788 7.485 3.592
B 3.192 4.918 6.561
B 3.192 7.652 2.946
B 3.192 2.592 4.801
B 1.596 4.749 1.523
B 1.596 2.758 4.155
B 4.788 5.494 6.224
Pm 3.192 5.122 3.874
Pm 3.192 7.921 5.990
Pm 3.192 2.323 1.757

***

Entry 12:
4
Lattice="0.260 2.589 3.399 -2.802 3.202 0.471 -2.975 -0.194 3.071" Properties=species:S:1:pos:R:3 comment="GGA-PBE SnGeO2, optimized geometry" density_g_cm3=6.69 dos_at_fermi_per_ev_atom=0.024 raw_formation_energy_mev_per_atom=-393 spacegroup="Fm-3m, No. 225" m_tot_mub_per_cell=0.00 relative_energy_mev_per_atom=540 pbc="T T T"
Sn -2.758 2.798 3.470
O -4.138 4.198 5.206
O -1.379 1.399 1.735
Ge 0.000 0.000 0.000

***

Entry 13:
4
Lattice="-0.298 -3.825 -1.297 2.052 -2.943 1.877 -6.376 -3.588 5.718" Properties=species:S:1:pos:R:3 comment="GGA-PBE La2AgHg, optimized geometry" density_g_cm3=7.63 dos_at_fermi_per_ev_atom=1.140 formation_energy_ev_per_atom=-0.218 spacegroup="R3m, No. 160" m_tot_mub_per_cell=0.00 pbc="T T T"
Ag -2.317 -5.179 3.154
La -4.564 -3.242 4.280
La -1.221 -2.602 1.627
Hg 1.169 -4.512 0.387

***

Entry 14:
12
Lattice="-0.067 -0.215 7.456 -2.710 -2.083 -0.084 5.111 -6.642 -0.146" Properties=species:S:1:pos:R:3 comment="GGA-PBE HgPH, optimized geometry" density_g_cm3=7.23 dos_at_fermi_per_ev_atom=0.064 spacegroup="Cmcm, No. 63" m_tot_mub_per_cell=0.00 relative_energy_mev_per_atom=224 pbc="T T T"
Hg 3.089 -5.718 7.324
Hg -0.788 -3.331 3.630
Hg 3.122 -5.610 3.596
Hg -0.755 -3.223 -0.098
H 2.827 -8.105 5.387
H 0.707 -5.199 1.720
H 1.627 -3.742 5.506
H -0.493 -0.836 1.839
P 0.180 -4.664 5.466
P -1.756 -1.997 1.794
P 4.090 -6.943 5.432
P 2.154 -4.277 1.760

***

Entry 15:
28
Lattice="-0.376 -5.232 4.294 7.288 3.876 5.360 -8.269 6.163 6.785" Properties=species:S:1:pos:R:3 comment="GGA-PBE KBaPS4, optimized geometry" density_g_cm3=2.71 dos_at_fermi_per_ev_atom=0.000 raw_formation_energy_mev_per_atom=-1190 spacegroup="Pnma, No. 62" m_tot_mub_per_cell=0.00 relative_energy_mev_per_atom=3 pbc="T T T"
K -4.036 3.169 6.183
K 2.679 1.638 10.257
K 1.333 0.744 3.698
K -2.690 4.063 12.741
S 5.855 0.164 8.739
S -0.445 2.962 6.245
S -3.683 3.629 9.512
S 2.144 4.288 8.088
S -0.912 1.845 10.194
S 2.509 3.733 4.830
S 0.482 7.935 9.772
S 2.326 1.177 6.928
S -3.501 0.519 8.352
S 1.077 -2.327 5.286
S -2.434 7.133 11.154
S -3.866 1.073 11.610
S 0.298 5.379 11.870
S -1.839 -3.129 6.668
S -1.655 -0.573 4.570
S -7.212 4.643 7.701
Ba -0.876 5.046 8.747
Ba 5.153 2.972 6.747
Ba -0.481 -0.239 7.693
Ba -6.510 1.835 9.692
P -2.951 1.752 9.902
P 1.594 3.055 6.537
P -0.411 7.268 11.496
P -0.945 -2.462 4.944

***

Entry 16:
5
Lattice="-0.777 -0.778 4.631 2.920 -3.177 -0.044 3.418 3.125 1.099" Properties=species:S:1:pos:R:3 comment="GGA-PBE Ti2NiHgGe, optimized geometry" density_g_cm3=7.26 dos_at_fermi_per_ev_atom=1.311 formation_energy_ev_per_atom=0.314 spacegroup="P4/mmm, No. 123" m_tot_mub_per_cell=0.00 pbc="T T T"
Hg 2.780 -0.415 2.843
Ni 1.460 -1.589 -0.022
Ti -0.389 -0.389 2.315
Ti 1.709 1.563 0.549
Ge 0.000 0.000 0.000

***

Entry 17:
5
Lattice="4.914 0.000 0.000 0.000 4.914 0.000 0.000 0.000 4.914" Properties=species:S:1:pos:R:3 comment="GGA-PBE Ru3AuC, optimized geometry" density_g_cm3=7.17 dos_at_fermi_per_ev_atom=1.531 formation_energy_ev_per_atom=3.474 spacegroup="Pm-3m, No. 221" m_tot_mub_per_cell=6.35 relative_energy_mev_per_atom=3086 pbc="T T T"
Ru 2.457 0.000 0.000
Ru 0.000 2.457 0.000
Ru 0.000 0.000 2.457
C 2.457 2.457 2.457
Au 0.000 0.000 0.000

***

Entry 18:
2
Lattice="3.747 0.000 0.000 1.874 3.245 0.000 1.874 1.082 3.059" Properties=species:S:1:pos:R:3 comment="GGA-PBE NiAs, optimized geometry" density_g_cm3=5.96 dos_at_fermi_per_ev_atom=1.357 formation_energy_ev_per_atom=0.043 spacegroup="F-43m, No. 216" m_tot_mub_per_cell=0.00 pbc="T T T"
As 0.000 0.000 0.000
Ni 5.621 3.245 2.295

***

Entry 19:
10
Lattice="5.209 0.000 0.000 -2.605 4.511 0.000 0.000 0.000 12.937" Properties=species:S:1:pos:R:3 comment="GGA-PBE Tb2NdTl2, optimized geometry" density_g_cm3=9.51 dos_at_fermi_per_ev_atom=0.573 formation_energy_ev_per_atom=0.023 spacegroup="P6_3/mmc, No. 194" m_tot_mub_per_cell=0.55 relative_energy_mev_per_atom=165 pbc="T T T"
Tl 2.605 1.504 1.625
Tl 0.000 3.008 11.312
Tl 2.605 1.504 4.844
Tl 0.000 3.008 8.093
Tb 2.605 1.504 9.703
Tb 0.000 0.000 0.000
Tb 0.000 3.008 3.234
Tb 0.000 0.000 6.469
Nd 0.000 0.000 3.234
Nd 0.000 0.000 9.703

***

Entry 20:
8
Lattice="7.620 0.000 0.000 0.000 7.620 0.000 3.810 3.810 3.916" Properties=species:S:1:pos:R:3 comment="GGA-PBE In2SCl, optimized geometry" density_g_cm3=4.34 dos_at_fermi_per_ev_atom=0.597 raw_formation_energy_mev_per_atom=-405 spacegroup="I-42d, No. 122" m_tot_mub_per_cell=0.00 relative_energy_mev_per_atom=70 pbc="T T T"
S 3.810 3.810 0.000
S 3.810 7.620 1.958
In 5.715 5.927 2.937
In 2.117 5.715 0.979
In 9.525 9.313 2.937
In 5.503 1.905 0.979
Cl 7.620 3.810 1.958
Cl 0.000 0.000 0.000

***

Entry 21:
10
Lattice="6.933 0.000 0.000 0.000 6.933 0.000 0.000 0.000 4.750" Properties=species:S:1:pos:R:3 comment="GGA-PBE Na2CaNi2, optimized geometry" density_g_cm3=2.96 dos_at_fermi_per_ev_atom=0.592 formation_energy_ev_per_atom=0.376 spacegroup="P4/mbm, No. 127" m_tot_mub_per_cell=0.00 relative_energy_mev_per_atom=57 pbc="T T T"
Ni 6.125 4.275 0.000
Ni 2.659 6.125 0.000
Ni 4.275 0.808 0.000
Ni 0.808 2.659 0.000
Na 5.826 2.359 2.375
Na 1.108 4.574 2.375
Na 2.359 1.108 2.375
Na 4.574 5.826 2.375
Ca 0.000 0.000 0.000
Ca 3.467 3.467 0.000

***

Entry 22:
15
Lattice="-3.482 -1.705 1.724 0.374 0.250 -4.219 9.525 -19.786 -0.330" Properties=species:S:1:pos:R:3 comment="GGA-PBE LaGe2RhS, optimized geometry" density_g_cm3=6.10 dos_at_fermi_per_ev_atom=0.545 raw_formation_energy_mev_per_atom=-863 spacegroup="R3m, No. 160" m_tot_mub_per_cell=0.00 relative_energy_mev_per_atom=0 pbc="T T T"
Ge 5.410 -13.533 -2.458
Ge 6.657 -19.445 -0.564
Ge 1.592 -5.603 -2.325
Ge 5.679 -11.797 -0.197
Ge 9.496 -19.727 -0.329
Ge 0.950 -7.589 -0.366
S 1.016 -2.110 -0.035
S 6.454 -15.702 -2.494
S 1.994 -9.758 -0.402
La 3.926 -10.450 -2.406
La 8.012 -16.644 -0.278
La -0.535 -4.506 -0.315
Rh 3.732 -13.369 -0.463
Rh 2.754 -5.720 -0.095
Rh 8.192 -19.312 -2.554